Entry from the Alexandria database: an optimized crystal structure of Ho6InP2Se3 (PBE).

Structure (CIF):
```
data_Ho6InP2Se3
_chemical_formula_sum 'Ho6 In1 P2 Se3'
_space_group_name_H-M_alt 'P 1'
_space_group_IT_number 1
_space_group_name_Hall 'P 1'
_cell_length_a 9.1653
_cell_length_b 9.1653
_cell_length_c 8.3262
_cell_angle_alpha 103.14
_cell_angle_beta 103.14
_cell_angle_gamma 25.36
loop_
_atom_site_label
_atom_site_fract_x
_atom_site_fract_y
_atom_site_fract_z
Ho1 0.0057 0.0057 0.2633
Ho2 0.3271 0.3271 0.4286
Ho3 0.3296 0.3296 0.8971
Ho4 0.6704 0.6704 0.1029
Ho5 0.6729 0.6729 0.5714
Ho6 0.9943 0.9943 0.7367
In1 0.5000 0.5000 0.0000
P1 0.1684 0.1684 0.3373
P2 0.8316 0.8316 0.6627
Se1 0.1663 0.1663 0.8310
Se2 0.5000 0.5000 0.5000
Se3 0.8337 0.8337 0.1690
```

Values from the calculation:
Uncorrected energy, eV/atom: -5.772
Volume, Å³/atom: 24.277
Density, g cm⁻³: 8.00
SG: C2/m (12)